# 1
Here is a relaxed structure of Ti4Ni3 from Alexandria. Energies are from PBE.

Unit cell a=11.4066 b=11.4066 c=5.2375 alpha=90.00 beta=90.00 gamma=120.00
Space group R-3 (No. 148, hexagonal axes)
Symmetry-distinct sites (fractional):
Ti 0.0000 0.0000 0.0000 [3 per cell]
Ti 0.0000 0.0000 0.5000 [3 per cell]
Ti 0.0498 0.8095 0.1890 [18 per cell]
Ni 0.0513 0.8037 0.7067 [18 per cell]

Values from the calculation:
The calculation puts the spin magnetization at 0.001 Bohr magnetons per cell. For the formation energy, the calculation gives -280 meV per atom. The value obtained for the total energy is -0.5343 Ry per atom. Its distance to the lowest polymorph of the same formula is 0.000 eV per formula unit. The density of states at the Fermi level is 9.934 states/eV/f.u. The value obtained for the volume is 14.051 Å³ per atom.

---

# 2
Here is a relaxed structure of Li3TiO from Alexandria. Energies are from PBE.

Unit cell a=4.0173 b=4.0173 c=4.0173 alpha=90.00 beta=90.00 gamma=90.00
Space group Pm-3m (No. 221)
Symmetry-distinct sites (fractional):
Li 0.0000 0.0000 0.5000 [3 per cell]
Ti 0.5000 0.5000 0.5000 [1 per cell]
O 0.0000 0.0000 0.0000 [1 per cell]

Values from the calculation:
The calculation puts the spin magnetization at 0.000 Bohr magnetons per cell. The value obtained for the total energy is -0.2919 Ry per atom. Its distance to the lowest polymorph of the same formula is 0.000 eV per formula unit. The density of states at the Fermi level is 13.886 states/eV/f.u. The value obtained for the volume is 12.967 Å³ per atom. As for the energy relative to the elements, uncorrected: -1.27 eV/f.u.

---

# 3
Here is a relaxed structure of MgPIr2 from Alexandria. Energies are from PBE.

Unit cell a=3.5500 b=4.4281 c=7.5106 alpha=90.00 beta=90.00 gamma=90.00
Space group Immm (No. 71)
Symmetry-distinct sites (fractional):
Mg 0.0000 0.0000 0.0000 [2 per cell]
P 0.0000 0.0000 0.5000 [2 per cell]
Ir 0.0000 0.5000 0.2055 [4 per cell]

Values from the calculation:
The calculation puts the spin magnetization at 0.000 Bohr magnetons per cell. For the formation energy, the calculation gives -264 meV per atom. The value obtained for the total energy is -0.4737 Ry per atom. The density of states at the Fermi level is 1.932 states/eV/f.u. The value obtained for the volume is 14.758 Å³ per atom.

---

# 4
Here is a relaxed structure of PuTlAs from Alexandria. Energies are from PBE.

Unit cell a=4.9461 b=4.9461 c=24.0023 alpha=90.00 beta=90.00 gamma=120.00
Space group R-3m (No. 166, hexagonal axes)
Symmetry-distinct sites (fractional):
Pu 0.0000 0.0000 0.1002 [6 per cell]
Tl 0.0000 0.0000 0.3574 [6 per cell]
As 0.0000 0.0000 0.2177 [6 per cell]

Values from the calculation:
The calculation puts the spin magnetization at 31.009 Bohr magnetons per cell. For the formation energy, the calculation gives -331 meV per atom. The value obtained for the total energy is -0.5473 Ry per atom. The density of states at the Fermi level is 11.816 states/eV/f.u. The value obtained for the volume is 28.251 Å³ per atom.

---

# 5
Here is a relaxed structure of LuSbRu2 from Alexandria. Energies are from PBE.

Unit cell a=6.5057 b=6.5057 c=6.5057 alpha=90.00 beta=90.00 gamma=90.00
Space group Fm-3m (No. 225)
Symmetry-distinct sites (fractional):
Lu 0.0000 0.0000 0.0000 [4 per cell]
Sb 0.0000 0.0000 0.5000 [4 per cell]
Ru 0.2500 0.2500 0.2500 [8 per cell]

Values from the calculation:
The calculation puts the spin magnetization at 0.000 Bohr magnetons per cell. The value obtained for the total energy is -0.5379 Ry per atom. Its distance to the lowest polymorph of the same formula is 0.000 eV per formula unit. The density of states at the Fermi level is 0.260 states/eV/f.u. The value obtained for the volume is 17.209 Å³ per atom. As for the energy relative to the elements, uncorrected: -2.08 eV/f.u.

---

# 6
Here is a relaxed structure of K2NaRuF6 from Alexandria. Energies are from PBE.

Unit cell a=8.5323 b=8.5323 c=8.5323 alpha=90.00 beta=90.00 gamma=90.00
Space group Fm-3m (No. 225)
Symmetry-distinct sites (fractional):
K 0.2500 0.2500 0.2500 [8 per cell]
Na 0.0000 0.0000 0.0000 [4 per cell]
Ru 0.0000 0.0000 0.5000 [4 per cell]
F 0.0000 0.0000 0.2630 [24 per cell]

Values from the calculation:
The calculation puts the spin magnetization at 4.000 Bohr magnetons per cell. The value obtained for the total energy is -0.3509 Ry per atom. The density of states at the Fermi level is 14.854 states/eV/f.u. The value obtained for the volume is 15.529 Å³ per atom. As for the energy relative to the elements, uncorrected: -23.72 eV/f.u.

---

# 7
Here is a relaxed structure of Li2TaTc from Alexandria. Energies are from PBE.

Unit cell a=2.7152 b=2.7152 c=30.1793 alpha=90.00 beta=90.00 gamma=120.00
Space group R-3m (No. 166, hexagonal axes)
Symmetry-distinct sites (fractional):
Li 0.0000 0.0000 0.2445 [6 per cell]
Ta 0.0000 0.0000 0.0000 [3 per cell]
Tc 0.0000 0.0000 0.5000 [3 per cell]

Values from the calculation:
The calculation puts the spin magnetization at 2.222 Bohr magnetons per cell. For the formation energy, the calculation gives 409 meV per atom. The value obtained for the total energy is -0.4485 Ry per atom. Its distance to the lowest polymorph of the same formula is 1.074 eV per formula unit. The density of states at the Fermi level is 3.610 states/eV/f.u. The value obtained for the volume is 16.057 Å³ per atom.

---

# 8
Here is a relaxed structure of V5Mo4W2 from Alexandria. Energies are from PBE.

Unit cell a=3.0963 b=6.9019 c=8.0474 alpha=75.10 beta=79.07 gamma=89.96
Space group P-1 (No. 2)
Symmetry-distinct sites (fractional):
V 0.0000 0.0000 0.0000 [1 per cell]
V 0.1804 0.9099 0.6395 [2 per cell]
V 0.4545 0.2731 0.0908 [2 per cell]
Mo 0.0889 0.4525 0.8230 [2 per cell]
Mo 0.3650 0.8264 0.2685 [2 per cell]
W 0.2742 0.3582 0.4521 [2 per cell]

Values from the calculation:
The calculation puts the spin magnetization at 0.000 Bohr magnetons per cell. For the formation energy, the calculation gives -96 meV per atom. The value obtained for the total energy is -0.7743 Ry per atom. Its distance to the lowest polymorph of the same formula is 0.000 eV per formula unit. The density of states at the Fermi level is 9.937 states/eV/f.u. The value obtained for the volume is 14.815 Å³ per atom.

---

# 9
Here is a relaxed structure of KLi3Ni from Alexandria. Energies are from PBE.

Unit cell a=4.7805 b=4.7805 c=4.7805 alpha=90.00 beta=90.00 gamma=90.00
Space group Pm-3m (No. 221)
Symmetry-distinct sites (fractional):
K 0.0000 0.0000 0.0000 [1 per cell]
Li 0.0000 0.0000 0.5000 [3 per cell]
Ni 0.5000 0.5000 0.5000 [1 per cell]

Values from the calculation:
The calculation puts the spin magnetization at 0.000 Bohr magnetons per cell. For the formation energy, the calculation gives 1129 meV per atom. The value obtained for the total energy is -0.1026 Ry per atom. Its distance to the lowest polymorph of the same formula is 4.363 eV per formula unit. The density of states at the Fermi level is 3.203 states/eV/f.u. The value obtained for the volume is 21.850 Å³ per atom.

---

# 10
Here is a relaxed structure of Cd3Sn5F12 from Alexandria. Energies are from PBE.

Unit cell a=15.2174 b=15.2174 c=15.2174 alpha=90.00 beta=90.00 gamma=90.00
Space group Ia-3d (No. 230)
Symmetry-distinct sites (fractional):
Cd 0.0000 0.2500 0.1250 [24 per cell]
Sn 0.0000 0.0000 0.0000 [16 per cell]
Sn 0.0000 0.2500 0.3750 [24 per cell]
F 0.0388 0.0573 0.6433 [96 per cell]

Values from the calculation:
The calculation puts the spin magnetization at 14.986 Bohr magnetons per cell. The value obtained for the total energy is -0.2939 Ry per atom. The density of states at the Fermi level is 7.781 states/eV/f.u. The value obtained for the volume is 22.024 Å³ per atom. As for the energy relative to the elements, uncorrected: -34.75 eV/f.u.

---

# 11
Here is a relaxed structure of ZrBiSb2Te from Alexandria. Energies are from PBE.

Unit cell a=5.6221 b=5.6221 c=5.4573 alpha=90.00 beta=90.00 gamma=90.00
Space group P4/mmm (No. 123)
Symmetry-distinct sites (fractional):
Zr 0.0000 0.0000 0.0000 [1 per cell]
Bi 0.5000 0.5000 0.5000 [1 per cell]
Sb 0.0000 0.5000 0.0000 [2 per cell]
Te 0.0000 0.0000 0.5000 [1 per cell]

Values from the calculation:
The calculation puts the spin magnetization at 0.000 Bohr magnetons per cell. The value obtained for the total energy is -0.3326 Ry per atom. Its distance to the lowest polymorph of the same formula is 0.000 eV per formula unit. The density of states at the Fermi level is 5.701 states/eV/f.u. The value obtained for the volume is 34.499 Å³ per atom. As for the energy relative to the elements, uncorrected: 1.19 eV/f.u.

---

# 12
Here is a relaxed structure of MnCrRu3 from Alexandria. Energies are from PBE.

Unit cell a=4.3455 b=4.3455 c=4.3455 alpha=90.00 beta=90.00 gamma=90.00
Space group Pm-3m (No. 221)
Symmetry-distinct sites (fractional):
Mn 0.0000 0.0000 0.0000 [1 per cell]
Cr 0.5000 0.5000 0.5000 [1 per cell]
Ru 0.0000 0.0000 0.5000 [3 per cell]

Values from the calculation:
The calculation puts the spin magnetization at 0.161 Bohr magnetons per cell. For the formation energy, the calculation gives 1551 meV per atom. The value obtained for the total energy is -0.5713 Ry per atom. Its distance to the lowest polymorph of the same formula is 7.080 eV per formula unit. The density of states at the Fermi level is 12.091 states/eV/f.u. The value obtained for the volume is 16.412 Å³ per atom.